Record 1
This record from Alexandria describes an optimized crystal structure of InSeCl2. The functional is PBE. Values from VASP.

## Properties
Formation energy without anion corrections = -158 meV/atom
Crystal system = orthorhombic
Density of states at the Fermi level = 2.8 states/eV per cell
Energy above the lowest structure with this stoichiometry = 2.00 eV per formula unit

The structure in Quantum ESPRESSO input format:
```
&SYSTEM
  ibrav = 0, nat = 4, ntyp = 3
/
ATOMIC_SPECIES
Cl 35.45 Cl.upf
Se 78.96 Se.upf
In 114.82 In.upf
CELL_PARAMETERS angstrom
-1.5449 -2.3499 2.2889
1.5106 -4.6279 -3.7317
3.7890 -0.4515 2.0938
ATOMIC_POSITIONS angstrom
Cl 0.0000 0.0000 0.0000
Cl -0.0171 -3.4889 -0.7214
Se 2.6498 -2.5397 -0.8189
In 1.1221 -1.4007 2.1914
```

***

Record 2
This record from Alexandria describes an optimized crystal structure of InSe2Cl. The functional is PBE. Values from VASP.

## Properties
Formation energy without anion corrections = -14 meV/atom
Crystal system = orthorhombic
Density of states at the Fermi level = 3.4 states/eV per cell
Energy above the lowest structure with this stoichiometry = 2.01 eV per formula unit

The structure in Quantum ESPRESSO input format:
```
&SYSTEM
  ibrav = 0, nat = 4, ntyp = 3
/
ATOMIC_SPECIES
Cl 35.45 Cl.upf
In 114.82 In.upf
Se 78.96 Se.upf
CELL_PARAMETERS angstrom
-0.8610 3.6604 -0.5804
-3.7028 -0.8584 0.1694
0.0569 1.0721 6.6773
ATOMIC_POSITIONS angstrom
Cl -2.2677 1.6690 1.4638
In -2.2393 2.2051 4.8025
Se 0.0533 1.0055 6.2627
Se 0.0320 0.6026 3.7533
```

***

Record 3
This record from Alexandria describes an optimized crystal structure of In2SeCl2. The functional is PBE. Values from VASP.

## Properties
Formation energy without anion corrections = -545 meV/atom
Crystal system = tetragonal
Density of states at the Fermi level = 0.9 states/eV per cell
Energy above the lowest structure with this stoichiometry = 1.21 eV per formula unit

The structure in Quantum ESPRESSO input format:
```
&SYSTEM
  ibrav = 0, nat = 10, ntyp = 3
/
ATOMIC_SPECIES
Cl 35.45 Cl.upf
Se 78.96 Se.upf
In 114.82 In.upf
CELL_PARAMETERS angstrom
-6.4044 3.8426 2.6994
-0.6468 -5.2434 5.9294
2.5990 2.5490 2.5376
ATOMIC_POSITIONS angstrom
Cl -0.0238 -1.5458 5.4571
Cl -3.3660 -0.7592 8.0899
Cl -4.4285 2.6940 5.7093
Cl -1.0863 1.9074 3.0765
Se 0.0000 0.0000 0.0000
Se -3.5256 -0.7004 4.3144
In -2.3147 -3.0173 5.4015
In -5.4750 -0.7562 6.3670
In -4.7365 1.6165 3.2273
In -1.5762 -0.6446 2.2619
```

***

Record 4
This record from Alexandria describes an optimized crystal structure of InSeCl2. The functional is PBE. Values from VASP.

## Properties
Formation energy without anion corrections = -315 meV/atom
Crystal system = tetragonal
Density of states at the Fermi level = 4.8 states/eV per cell
Energy above the lowest structure with this stoichiometry = 1.38 eV per formula unit

The structure in Quantum ESPRESSO input format:
```
&SYSTEM
  ibrav = 0, nat = 8, ntyp = 3
/
ATOMIC_SPECIES
Cl 35.45 Cl.upf
Se 78.96 Se.upf
In 114.82 In.upf
CELL_PARAMETERS angstrom
9.5568 0.0000 0.0000
0.0000 9.5568 0.0000
4.7784 4.7784 2.6968
ATOMIC_POSITIONS angstrom
Cl 8.6029 2.3892 0.6742
Cl 10.5107 7.1676 0.6742
Cl 7.1676 5.7323 2.0226
Cl 11.9460 3.8245 2.0226
Se 4.7784 4.7784 0.0000
Se 4.7784 9.5568 1.3484
In 0.0000 0.0000 0.0000
In 9.5568 4.7784 1.3484
```

***

Record 5
This record from Alexandria describes an optimized crystal structure of InSe2Cl. The functional is PBE. Values from VASP.

## Properties
Formation energy without anion corrections = -309 meV/atom
Crystal system = trigonal
Density of states at the Fermi level = 0.4 states/eV per cell
Energy above the lowest structure with this stoichiometry = 0.83 eV per formula unit

The structure in Quantum ESPRESSO input format:
```
&SYSTEM
  ibrav = 0, nat = 4, ntyp = 3
/
ATOMIC_SPECIES
Cl 35.45 Cl.upf
Se 78.96 Se.upf
In 114.82 In.upf
CELL_PARAMETERS angstrom
2.4086 0.0000 7.8229
-1.2043 2.0859 7.8229
-1.2043 -2.0859 7.8229
ATOMIC_POSITIONS angstrom
Cl 0.0000 0.0000 0.0000
Se 0.0000 0.0000 20.9864
Se 0.0000 0.0000 2.4823
In 0.0000 0.0000 11.7344
```

***

Record 6
This record from Alexandria describes an optimized crystal structure of InSeCl2. The functional is PBE. Values from VASP.

## Properties
Formation energy without anion corrections = -60 meV/atom
Crystal system = cubic
Density of states at the Fermi level = 5.1 states/eV per cell
Energy above the lowest structure with this stoichiometry = 2.39 eV per formula unit

The structure in Quantum ESPRESSO input format:
```
&SYSTEM
  ibrav = 0, nat = 4, ntyp = 3
/
ATOMIC_SPECIES
Cl 35.45 Cl.upf
Se 78.96 Se.upf
In 114.82 In.upf
CELL_PARAMETERS angstrom
4.9768 0.0087 0.0000
-0.0086 4.9768 0.0000
-2.4841 -2.4927 3.5191
ATOMIC_POSITIONS angstrom
Cl 0.0000 0.0000 0.0000
Cl -0.0043 2.4884 1.7595
Se 2.4884 0.0043 1.7595
In 2.4841 2.4927 0.0000
```

***

Record 7
This record from Alexandria describes an optimized crystal structure of InSeCl2. The functional is PBE. Values from VASP.

## Properties
Formation energy without anion corrections = -101 meV/atom
Crystal system = tetragonal
Density of states at the Fermi level = 3.6 states/eV per cell
Energy above the lowest structure with this stoichiometry = 2.23 eV per formula unit

The structure in Quantum ESPRESSO input format:
```
&SYSTEM
  ibrav = 0, nat = 4, ntyp = 3
/
ATOMIC_SPECIES
Cl 35.45 Cl.upf
Se 78.96 Se.upf
In 114.82 In.upf
CELL_PARAMETERS angstrom
-0.1820 2.9081 1.9807
-3.4588 0.2159 -0.6348
-1.5022 -4.6024 6.6194
ATOMIC_POSITIONS angstrom
Cl -1.3872 -4.2501 6.1128
Cl -2.3096 0.0631 2.8287
Se -2.9062 -1.7646 5.4574
In -0.7933 -2.4304 3.4955
```

***

Record 8
This record from Alexandria describes an optimized crystal structure of InSeCl2. The functional is PBE. Values from VASP.

## Properties
Formation energy without anion corrections = -379 meV/atom
Crystal system = orthorhombic
Density of states at the Fermi level = 1.2 states/eV per cell
Energy above the lowest structure with this stoichiometry = 1.12 eV per formula unit

The structure in Quantum ESPRESSO input format:
```
&SYSTEM
  ibrav = 0, nat = 4, ntyp = 3
/
ATOMIC_SPECIES
Cl 35.45 Cl.upf
Se 78.96 Se.upf
In 114.82 In.upf
CELL_PARAMETERS angstrom
7.0444 0.0974 0.0031
3.9458 5.8365 -0.0031
-4.9386 -3.9977 3.0434
ATOMIC_POSITIONS angstrom
Cl 10.7690 5.8145 0.0000
Cl 2.7563 -1.0305 1.5233
Se 3.4376 3.0434 1.5201
In 5.5741 3.0096 0.0000
```

***

Record 9
This record from Alexandria describes an optimized crystal structure of InSeCl. The functional is PBE. Values from VASP.

## Properties
Formation energy without anion corrections = -206 meV/atom
Crystal system = cubic
Density of states at the Fermi level = 1.5 states/eV per cell

The structure in Quantum ESPRESSO input format:
```
&SYSTEM
  ibrav = 0, nat = 3, ntyp = 3
/
ATOMIC_SPECIES
Cl 35.45 Cl.upf
In 114.82 In.upf
Se 78.96 Se.upf
CELL_PARAMETERS angstrom
-2.6615 -0.0750 4.0229
2.0857 -0.9014 4.2556
0.4543 3.5279 3.2590
ATOMIC_POSITIONS angstrom
Cl 0.0000 0.0000 0.0000
In -0.0607 1.2757 5.7688
Se -0.0911 1.9136 8.6532
```

***

Record 10
This record from Alexandria describes an optimized crystal structure of InSeCl. The functional is PBE. Values from VASP.

## Properties
Formation energy without anion corrections = -752 meV/atom
Crystal system = trigonal
Density of states at the Fermi level = 0.0 states/eV per cell

The structure in Quantum ESPRESSO input format:
```
&SYSTEM
  ibrav = 0, nat = 3, ntyp = 3
/
ATOMIC_SPECIES
Cl 35.45 Cl.upf
Se 78.96 Se.upf
In 114.82 In.upf
CELL_PARAMETERS angstrom
3.9638 0.0000 0.0000
-1.9819 3.4328 0.0000
0.0000 0.0000 6.6266
ATOMIC_POSITIONS angstrom
Cl 0.0000 0.0000 0.6498
Se 1.9819 1.1443 3.6590
In 0.0000 2.2885 2.3178
```

***

Record 11
This record from Alexandria describes an optimized crystal structure of InSeCl2. The functional is PBE. Values from VASP.

## Properties
Formation energy without anion corrections = -354 meV/atom
Crystal system = trigonal
Density of states at the Fermi level = 3.8 states/eV per cell
Energy above the lowest structure with this stoichiometry = 1.22 eV per formula unit

The structure in Quantum ESPRESSO input format:
```
&SYSTEM
  ibrav = 0, nat = 4, ntyp = 3
/
ATOMIC_SPECIES
Cl 35.45 Cl.upf
Se 78.96 Se.upf
In 114.82 In.upf
CELL_PARAMETERS angstrom
8.0889 0.0828 0.0502
7.0114 4.0346 0.0502
7.0114 1.9118 3.5533
ATOMIC_POSITIONS angstrom
Cl 0.4581 0.1249 0.0757
Cl 4.9318 1.3448 0.8149
Se 16.9587 4.6242 2.8022
In 10.8188 2.9500 1.7876
```

***

Record 12
This record from Alexandria describes an optimized crystal structure of InSe2Cl. The functional is PBE. Values from VASP.

## Properties
Formation energy without anion corrections = -192 meV/atom
Crystal system = orthorhombic
Density of states at the Fermi level = 1.5 states/eV per cell
Energy above the lowest structure with this stoichiometry = 1.30 eV per formula unit

The structure in Quantum ESPRESSO input format:
```
&SYSTEM
  ibrav = 0, nat = 4, ntyp = 3
/
ATOMIC_SPECIES
Cl 35.45 Cl.upf
In 114.82 In.upf
Se 78.96 Se.upf
CELL_PARAMETERS angstrom
4.1099 -0.0256 0.0000
-2.2392 3.4465 0.0000
0.0000 0.0000 8.8562
ATOMIC_POSITIONS angstrom
Cl 0.0000 0.0000 4.7520
In 0.9354 1.7104 6.5945
Se 0.0000 0.0000 0.2309
Se 0.9354 1.7104 1.7070
```